Pr4Te5Se (PBE-GGA, optimized geometry); formation energy (no corrections) = -1.42 eV per atom; size of the total moment = 0.00 μB/cell; calculated density = 5.56 g/cm³; crystal system = monoclinic; symmetry = C2/m, No. 12
1.0
9.847 -2.241 0.000
9.847 2.241 0.000
-2.301 0.000 8.667
Pr Te Se
4 5 1
Cartesian
-0.520 0.000 2.171 Pr
4.400 0.000 7.764 Pr
12.994 0.000 0.903 Pr
17.914 0.000 6.497 Pr
1.281 0.000 7.292 Te
2.444 0.000 2.958 Te
8.697 0.000 4.334 Te
14.949 0.000 5.710 Te
16.113 0.000 1.375 Te
9.847 0.000 0.000 Se